The following is a DFT calculation (PBE) of a relaxed structure of Cs3IrCl6.

The calculation puts the total energy at -36.451 eV/f.u. For the energy above the most stable polymorph in this dataset, the calculation gives 0 meV per atom. The space group is Fm-3m, No. 225. The formation energy from raw total energies is -1.3950 eV/atom.

Cell: 7.9337 7.9337 7.9336 Å, 60.00 60.00 90.00°
Closest atoms and distances in Å follow each position.
Atoms (fractional coordinates):
Cs (0.5000, 0.5000, 0.0000)  6 Cl 3.24
Cs (0.7500, 0.2500, 0.5000)  12 Cl 3.99
Cs (0.2500, 0.7500, 0.5000)  12 Cl 3.99
Ir (0.0000, 0.0000, 0.0000)  6 Cl 2.37
Cl (0.2111, 0.2111, 0.5777)  1 Ir 2.37
Cl (0.7889, 0.7889, 0.4223)  1 Ir 2.37
Cl (0.2111, 0.2111, 0.0000)  1 Ir 2.37
Cl (0.7889, 0.7889, 0.0000)  1 Ir 2.37
Cl (0.7889, 0.2111, 0.0000)  1 Ir 2.37
Cl (0.2111, 0.7889, 0.0000)  1 Ir 2.37